1.
# Al2CrIr2

A relaxed structure of Al2CrIr2 (PBE-GGA, Alexandria).

Cell and atoms, written as POSCAR:
```
Al2CrIr2
1.0
-1.844 1.844 5.951
1.844 -1.844 5.951
1.844 1.844 -5.951
Al Cr Ir
2 1 2
Direct
0.250 0.750 0.500
0.750 0.250 0.500
0.000 0.000 0.000
0.393 0.393 0.000
0.607 0.607 0.000
```

## Properties
The energy of formation is -0.179 eV per atom. The symmetry is I4/mmm (139).

---

2.
# Al2CrIr

A relaxed structure of Al2CrIr (PBE-GGA, Alexandria).

Cell and atoms, written as POSCAR:
```
Al2CrIr
1.0
-3.474 3.474 2.714
3.474 -3.474 2.714
3.474 3.474 -2.714
Al Cr Ir
4 2 2
Direct
0.102 0.125 0.477
0.375 0.898 0.023
0.648 0.625 0.523
0.875 0.352 0.977
0.250 0.750 0.500
0.500 0.500 0.000
0.000 0.000 0.000
0.750 0.250 0.500
```

## Properties
The energy of formation is 0.150 eV per atom. The symmetry is I-42d (122).

---

3.
# Al2CrIr

A relaxed structure of Al2CrIr (PBE-GGA, Alexandria).

Cell and atoms, written as POSCAR:
```
Al2CrIr
1.0
4.278 -1.437 0.000
4.278 1.437 0.000
-0.812 0.000 4.715
Al Cr Ir
2 1 1
Direct
0.245 0.245 0.242
0.755 0.755 0.758
0.000 0.000 0.500
0.500 0.500 0.000
```

## Properties
The energy of formation is -0.318 eV per atom. The symmetry is C2/m (12).

---

4.
# Al2CrIr

A relaxed structure of Al2CrIr (PBE-GGA, Alexandria).

Cell and atoms, written as POSCAR:
```
Al2CrIr
1.0
4.666 -1.431 0.000
4.666 1.431 0.000
-1.415 0.000 4.156
Al Cr Ir
2 1 1
Direct
0.000 0.000 0.000
0.228 0.228 0.655
0.747 0.747 0.161
0.481 0.481 0.492
```

## Properties
The energy of formation is -0.383 eV per atom. The symmetry is Cm (8).

---

5.
# Al2Cr2Ir

A relaxed structure of Al2Cr2Ir (PBE-GGA, Alexandria).

Cell and atoms, written as POSCAR:
```
Al2Cr2Ir
1.0
6.724 0.000 0.000
0.000 6.724 0.000
0.000 0.000 3.113
Al Cr Ir
4 4 2
Direct
0.138 0.362 0.000
0.362 0.862 0.000
0.638 0.138 0.000
0.862 0.638 0.000
0.162 0.662 0.500
0.338 0.162 0.500
0.662 0.838 0.500
0.838 0.338 0.500
0.000 0.000 0.000
0.500 0.500 0.000
```

## Properties
The energy of formation is 0.008 eV per atom. The symmetry is P4/mbm (127).

---

6.
# Al2CrIr

A relaxed structure of Al2CrIr (PBE-GGA, Alexandria).

Cell and atoms, written as POSCAR:
```
Al2CrIr
1.0
4.220 0.000 0.000
0.000 4.220 0.000
0.000 0.000 3.101
Al Cr Ir
2 1 1
Direct
0.000 0.500 0.000
0.500 0.000 0.000
0.000 0.000 0.500
0.500 0.500 0.500
```

## Properties
The energy of formation is -0.491 eV per atom. The symmetry is P4/mmm (123).

---

7.
# AlCr2Ir

A relaxed structure of AlCr2Ir (PBE-GGA, Alexandria).

Cell and atoms, written as POSCAR:
```
AlCr2Ir
1.0
2.687 0.000 0.000
0.000 2.687 0.000
0.000 0.000 7.287
Al Cr Ir
1 2 1
Direct
0.000 0.000 0.000
0.500 0.500 0.252
0.500 0.500 0.748
0.000 0.000 0.500
```

## Properties
The energy of formation is -0.109 eV per atom. The symmetry is P4/mmm (123).

---

8.
# AlCr2Ir

A relaxed structure of AlCr2Ir (PBE-GGA, Alexandria).

Cell and atoms, written as POSCAR:
```
AlCr2Ir
1.0
-2.115 2.117 2.993
2.115 -2.117 2.993
2.115 2.117 -2.993
Al Cr Ir
1 2 1
Direct
0.000 0.000 0.000
0.250 0.750 0.500
0.499 0.499 0.000
0.750 0.250 0.500
```

## Properties
The energy of formation is -0.291 eV per atom. The symmetry is Imm2 (44).

---

Calculated total energy values (in eV/atom) by entry order: -7.145; -6.343; -6.811; -6.875; -7.111; -6.984; -8.072; -8.253.